Here is a relaxed La2FeCu crystal from the Alexandria database. Energies are from PBE.

a b c (Å): 4.460 4.074 5.730
angles (deg): 69.20 90.00 90.00
Each line ends with the local moment (μB).
Fractional positions:
Cu: 0.000 0.686 0.503  0.01
Fe: 0.500 0.563 0.749  2.06
La: 0.000 0.984 0.908  -0.18
La: 0.500 0.267 0.341  -0.17

Summary:
* magnetization: 1.3 μB per cell
* final energy: -5.56 eV per atom
* formation energy from the elements: 45 meV/atom



Here is a relaxed La2FeCu crystal from the Alexandria database. Energies are from PBE.

a b c (Å): 4.924 4.924 4.924
angles (deg): 60.00 60.00 60.00
Each line ends with the local moment (μB).
Fractional positions:
Cu: 0.500 0.500 0.500  0.01
Fe: 0.250 0.250 0.250  2.42
La: 0.000 0.000 0.000  -0.18
La: 0.750 0.750 0.750  -0.14

Summary:
* magnetization: 2.1 μB per cell
* final energy: -5.36 eV per atom
* formation energy from the elements: 247 meV/atom